Record 1
Compound: AlCdIn
Source: Alexandria via LeMat-Bulk
Functional: GGA-PBE
Structure: relaxed

Summary:
- Uncorrected energy: -2.351 eV/atom
- N(E_F): 2.30 states/eV per cell
- Theoretical density: 6.22 Mg/m³

a = 3.0948 Å, b = 6.5800 Å, c = 6.8392 Å
α = 77.13°, β = 89.91°, γ = 89.94°
Last column: nearest neighbours and their distance in Å.
Fractional positions:
Al (0.2486, 0.0571, 0.1547)  4 Al 2.85-3.09, 3 Cd 2.93-3.02, 3 In 3.02-3.06
Al (0.7514, 0.9429, 0.8453)  4 Al 2.85-3.09, 3 Cd 2.93-3.02, 3 In 3.02-3.06
Cd (0.2481, 0.6162, 0.1370)  3 Al 2.93-3.02, 4 Cd 3.08-3.09, 3 In 3.12-3.21
Cd (0.7519, 0.3838, 0.8630)  3 Al 2.93-3.02, 4 Cd 3.08-3.09, 3 In 3.12-3.21
In (0.2529, 0.7433, 0.5508)  3 Al 3.02-3.06, 2 In 3.09, 3 Cd 3.12-3.21
In (0.7471, 0.2567, 0.4492)  3 Al 3.02-3.06, 2 In 3.09, 3 Cd 3.12-3.21


Record 2
Compound: ErSc3Ni8
Source: Alexandria via LeMat-Bulk
Functional: GGA-PBE
Structure: relaxed

Summary:
- Relative energy among the computed polymorphs: 16 meV/atom
- Uncorrected energy: -6.310 eV/atom
- N(E_F): 9.02 states/eV per cell
- Theoretical density: 7.55 Mg/m³

a = 4.9394 Å, b = 4.9394 Å, c = 8.0339 Å
α = 90.00°, β = 90.00°, γ = 120.00°
Last column: nearest neighbours and their distance in Å.
Fractional positions:
Er (0.0000, 0.0000, 0.0000)  12 Ni 2.89-2.93, 4 Sc 3.04-3.06
Sc (0.0000, 0.0000, 0.3779)  12 Ni 2.82-2.90, 3 Sc 3.00, 1 Er 3.04
Sc (0.6667, 0.3333, 0.4946)  12 Ni 2.84-2.89, 4 Sc 2.95-3.00
Sc (0.6667, 0.3333, 0.8624)  12 Ni 2.87-2.97, 1 Sc 2.95, 3 Er 3.06
Ni (0.1661, 0.3321, 0.6815)  6 Ni 2.45-2.48
Ni (0.1661, 0.8339, 0.6815)  6 Ni 2.45-2.48
Ni (0.3333, 0.6667, 0.4339)  6 Ni 2.45
Ni (0.3333, 0.6667, 0.9340)  6 Ni 2.48-2.49
Ni (0.5015, 0.0030, 0.1877)  6 Ni 2.45-2.49
Ni (0.5015, 0.4985, 0.1877)  6 Ni 2.45-2.49
Ni (0.6679, 0.8339, 0.6815)  6 Ni 2.45-2.48
Ni (0.9970, 0.4985, 0.1877)  6 Ni 2.45-2.49


Record 3
Compound: Sm8Sn5Pb
Source: Alexandria via LeMat-Bulk
Functional: GGA-PBE
Structure: relaxed

Summary:
- Uncorrected energy: -5.108 eV/atom
- N(E_F): 1.49 states/eV per cell
- Theoretical density: 7.74 Mg/m³

a = 8.2338 Å, b = 8.2338 Å, c = 8.2338 Å
α = 109.50°, β = 109.50°, γ = 109.42°
Last column: nearest neighbours and their distance in Å.
Fractional positions:
Sm (0.0117, 0.1225, 0.7487)  5 Sn 3.15-3.44, 1 Pb 3.46
Sm (0.2334, 0.4851, 0.6083)  5 Sn 3.15-3.44, 1 Pb 3.17
Sm (0.3738, 0.2631, 0.2513)  5 Sn 3.15-3.44, 1 Pb 3.46
Sm (0.3749, 0.7666, 0.2517)  5 Sn 3.15-3.44, 1 Pb 3.17
Sm (0.5149, 0.1231, 0.7483)  5 Sn 3.15-3.44, 1 Pb 3.17
Sm (0.7369, 0.9883, 0.1108)  5 Sn 3.15-3.44, 1 Pb 3.46
Sm (0.8769, 0.6251, 0.3917)  5 Sn 3.15-3.44, 1 Pb 3.17
Sm (0.8775, 0.6262, 0.8892)  5 Sn 3.15-3.44, 1 Pb 3.46
Sn (0.0005, 0.3758, 0.1245)  8 Sm 3.15-3.44
Sn (0.1240, 0.9995, 0.3753)  8 Sm 3.15-3.44
Sn (0.2513, 0.8760, 0.8755)  8 Sm 3.15-3.44
Sn (0.6242, 0.7487, 0.6247)  8 Sm 3.15-3.44
Sn (0.7500, 0.2500, 0.5000)  8 Sm 3.15-3.43
Pb (0.5000, 0.5000, 0.0000)  8 Sm 3.17-3.46


| no. | calculated formation energy (eV per atom) |
| --- | --- |
| 1 | 0.1149 |
| 2 | -0.4930 |
| 3 | -0.7174 |